Entry 1:
The following is a DFT calculation (GGA-PBEsol) of a relaxed structure of NaGa3Ir.

Total magnetization in Bohr magnetons per cell: 0.001
Crystal system: cubic
DOS(E_F) in states/eV/atom: 0.4564
Space group: Pm-3m
Energy in hartree per atom: -0.1634

Cell: 4.791 4.791 4.791 Å, 90.00 90.00 90.00°
Fractional positions:
Na: 0.000 0.000 0.000
Ga: 0.000 0.500 0.500
Ga: 0.500 0.000 0.500
Ga: 0.500 0.500 0.000
Ir: 0.500 0.500 0.500

Entry 2:
The following is a DFT calculation (GGA-PBEsol) of a relaxed structure of SiTe2.

E_form (uncorrected) in eV per atom: 0.20
Total magnetization in Bohr magnetons per cell: 0.000
Crystal system: trigonal
DOS(E_F) in states/eV/atom: 0.6294
Space group: R3m
Energy in hartree per atom: -0.1493

Cell: 6.375 6.375 6.375 Å, 34.92 34.92 34.92°
Fractional positions:
Si: 0.000 0.000 0.000
Te: 0.567 0.567 0.567
Te: 0.763 0.763 0.763

Entry 3:
The following is a DFT calculation (GGA-PBEsol) of a relaxed structure of Li3Ti2MnO6.

E_form (uncorrected) in eV per atom: -2.43
Total magnetization in Bohr magnetons per cell: 0.307
Crystal system: monoclinic
DOS(E_F) in states/eV/atom: 0.1654
Space group: C2/m
Energy in hartree per atom: -0.2847

Cell: 6.544 6.544 5.832 Å, 107.87 107.87 25.34°
Fractional positions:
Li: 0.000 0.000 0.000
Li: 0.334 0.334 0.678
Li: 0.666 0.666 0.322
Ti: 0.346 0.346 0.195
Ti: 0.654 0.654 0.805
Mn: 0.000 0.000 0.500
O: 0.165 0.165 0.577
O: 0.172 0.172 0.061
O: 0.497 0.497 0.738
O: 0.503 0.503 0.262
O: 0.828 0.828 0.939
O: 0.835 0.835 0.423

Entry 4:
The following is a DFT calculation (GGA-PBEsol) of a relaxed structure of Mn2SbRh.

E_form (uncorrected) in eV per atom: 0.04
Total magnetization in Bohr magnetons per cell: 6.083
Crystal system: tetragonal
DOS(E_F) in states/eV/atom: 1.2136
Space group: I4/mmm
Energy in hartree per atom: -0.2945

Cell: 4.747 4.747 4.747 Å, 131.97 131.97 70.28°
Fractional positions:
Mn: 0.250 0.750 0.500
Mn: 0.750 0.250 0.500
Sb: 0.000 0.000 0.000
Rh: 0.500 0.500 0.000

Entry 5:
The following is a DFT calculation (GGA-PBEsol) of a relaxed structure of RbLi2FeSe.

E_form (uncorrected) in eV per atom: 0.62
Total magnetization in Bohr magnetons per cell: 3.009
Crystal system: tetragonal
DOS(E_F) in states/eV/atom: 0.7765
Space group: P4/mmm
Energy in hartree per atom: -0.1080

Cell: 4.948 4.948 5.784 Å, 90.00 90.00 90.00°
Fractional positions:
Rb: 0.000 0.000 0.000
Li: 0.000 0.500 0.500
Li: 0.500 0.000 0.500
Fe: 0.000 0.000 0.500
Se: 0.500 0.500 0.000

Entry 6:
The following is a DFT calculation (GGA-PBEsol) of a relaxed structure of Be2IrPb.

Total magnetization in Bohr magnetons per cell: 0.000
Crystal system: cubic
DOS(E_F) in states/eV/atom: 0.4774
Space group: F-43m
Energy in hartree per atom: -0.1786

Cell: 4.348 4.348 4.348 Å, 60.00 60.00 60.00°
Fractional positions:
Be: 0.000 0.000 0.000
Be: 0.250 0.250 0.250
Ir: 0.750 0.750 0.750
Pb: 0.500 0.500 0.500

Entry 7:
The following is a DFT calculation (GGA-PBEsol) of a relaxed structure of MgAlCu2.

Total magnetization in Bohr magnetons per cell: 0.000
Crystal system: orthorhombic
DOS(E_F) in states/eV/atom: 0.2167
Space group: Imm2
Energy in hartree per atom: -0.1370

Cell: 5.021 5.021 5.021 Å, 144.59 130.40 62.41°
Fractional positions:
Mg: 0.000 0.000 0.000
Al: 0.276 0.776 0.500
Cu: 0.513 0.513 0.000
Cu: 0.741 0.241 0.500

Entry 8:
The following is a DFT calculation (GGA-PBEsol) of a relaxed structure of LaAs3F.

E_form (uncorrected) in eV per atom: -0.72
Total magnetization in Bohr magnetons per cell: 0.000
Crystal system: cubic
DOS(E_F) in states/eV/atom: 0.4863
Space group: Pm-3m
Energy in hartree per atom: -0.1924

Cell: 4.607 4.607 4.607 Å, 90.00 90.00 90.00°
Fractional positions:
La: 0.000 0.000 0.000
As: 0.000 0.500 0.500
As: 0.500 0.000 0.500
As: 0.500 0.500 0.000
F: 0.500 0.500 0.500

Entry 9:
The following is a DFT calculation (GGA-PBEsol) of a relaxed structure of TaCu2Au.

Total magnetization in Bohr magnetons per cell: 0.000
Crystal system: orthorhombic
DOS(E_F) in states/eV/atom: 0.5489
Space group: Pmmm
Energy in hartree per atom: -0.2290

Cell: 2.836 3.394 5.937 Å, 90.00 90.00 90.00°
Fractional positions:
Ta: 0.000 0.000 0.000
Cu: 0.500 0.500 0.253
Cu: 0.500 0.500 0.747
Au: 0.000 0.000 0.500

Entry 10:
The following is a DFT calculation (GGA-PBEsol) of a relaxed structure of ZrZn2Ru.

Total magnetization in Bohr magnetons per cell: 0.000
Crystal system: monoclinic
DOS(E_F) in states/eV/atom: 0.5297
Space group: Pm
Energy in hartree per atom: -0.2121

Cell: 3.025 3.965 5.290 Å, 90.00 102.17 90.00°
Fractional positions:
Zr: 0.000 0.000 0.000
Zn: 0.354 0.000 0.499
Zn: 0.408 0.500 0.751
Ru: 0.748 0.500 0.286

Entry 11:
The following is a DFT calculation (GGA-PBEsol) of a relaxed structure of LiCd2Bi2.

Total magnetization in Bohr magnetons per cell: 0.000
Crystal system: tetragonal
DOS(E_F) in states/eV/atom: 0.2733
Space group: I4/mmm
Energy in hartree per atom: -0.0945

Cell: 7.283 7.283 7.283 Å, 141.44 141.44 55.68°
Fractional positions:
Li: 0.000 0.000 0.000
Cd: 0.397 0.397 0.000
Cd: 0.603 0.603 0.000
Bi: 0.250 0.750 0.500
Bi: 0.750 0.250 0.500

Entry 12:
The following is a DFT calculation (GGA-PBEsol) of a relaxed structure of MgBe2Re2.

Total magnetization in Bohr magnetons per cell: 0.000
Crystal system: tetragonal
DOS(E_F) in states/eV/atom: 0.8397
Space group: P4/mbm
Energy in hartree per atom: -0.2642

Cell: 6.090 6.090 3.163 Å, 90.00 90.00 90.00°
Fractional positions:
Mg: 0.000 0.000 0.000
Mg: 0.500 0.500 0.000
Be: 0.119 0.381 0.000
Be: 0.381 0.881 0.000
Be: 0.619 0.119 0.000
Be: 0.881 0.619 0.000
Re: 0.170 0.670 0.500
Re: 0.330 0.170 0.500
Re: 0.670 0.830 0.500
Re: 0.830 0.330 0.500